[1]
DFT (PBE) results for a relaxed structure of Tl3HRh.

```
data_Tl3HRh
_chemical_formula_sum 'Tl3 H1 Rh1'
_symmetry_space_group_name_H-M 'P 1'
_symmetry_Int_Tables_number 1
_cell_length_a 4.662
_cell_length_b 4.662
_cell_length_c 4.662
_cell_angle_alpha 90.00
_cell_angle_beta 90.00
_cell_angle_gamma 90.00
loop_
_symmetry_equiv_pos_as_xyz
'x,y,z'
loop_
_atom_site_label
_atom_site_type_symbol
_atom_site_fract_x
_atom_site_fract_y
_atom_site_fract_z
H1 H 0.000 0.000 0.000
Tl1 Tl 0.500 0.000 0.000
Tl2 Tl 0.000 0.000 0.500
Rh1 Rh 0.500 0.500 0.500
Tl3 Tl 0.000 0.500 0.000
```

Energy relative to the lowest polymorph listed for this composition in kJ per mole of atoms: 17.9

[2]
DFT (PBE) results for a relaxed structure of Ca3CeS4.

```
data_Ca3CeS4
_chemical_formula_sum 'Ca3 Ce1 S4'
_symmetry_space_group_name_H-M 'P 1'
_symmetry_Int_Tables_number 1
_cell_length_a 4.032
_cell_length_b 7.020
_cell_length_c 7.020
_cell_angle_alpha 109.43
_cell_angle_beta 90.00
_cell_angle_gamma 90.00
loop_
_symmetry_equiv_pos_as_xyz
'x,y,z'
loop_
_atom_site_label
_atom_site_type_symbol
_atom_site_fract_x
_atom_site_fract_y
_atom_site_fract_z
Ca1 Ca 0.000 0.000 0.500
Ca2 Ca 0.000 0.500 0.000
S1 S 0.000 0.747 0.747
S2 S 0.500 0.750 0.250
Ce1 Ce 0.500 0.000 0.000
S3 S 0.000 0.253 0.253
Ca3 Ca 0.500 0.500 0.500
S4 S 0.500 0.250 0.750
```

Formation energy (no corrections) in eV per atom: -2.059

[3]
DFT (PBE) results for a relaxed structure of Na2AcDyF8.

```
data_Na2AcDyF8
_chemical_formula_sum 'Na2 Ac1 Dy1 F8'
_symmetry_space_group_name_H-M 'P 1'
_symmetry_Int_Tables_number 1
_cell_length_a 5.664
_cell_length_b 5.664
_cell_length_c 6.934
_cell_angle_alpha 114.10
_cell_angle_beta 114.10
_cell_angle_gamma 90.00
loop_
_symmetry_equiv_pos_as_xyz
'x,y,z'
loop_
_atom_site_label
_atom_site_type_symbol
_atom_site_fract_x
_atom_site_fract_y
_atom_site_fract_z
F1 F 0.604 0.633 0.737
F2 F 0.604 0.104 0.737
F3 F 0.133 0.104 0.737
Na1 Na 0.750 0.250 0.500
F4 F 0.133 0.633 0.737
F5 F 0.896 0.396 0.263
Na2 Na 0.000 0.000 0.000
F6 F 0.367 0.396 0.263
F7 F 0.367 0.867 0.263
Ac1 Ac 0.500 0.500 0.000
Dy1 Dy 0.250 0.750 0.500
F8 F 0.896 0.867 0.263
```

Formation energy (no corrections) in eV per atom: -3.705

[4]
DFT (PBE) results for a relaxed structure of HRuSe3.

```
data_HRuSe3
_chemical_formula_sum 'H1 Ru1 Se3'
_symmetry_space_group_name_H-M 'P 1'
_symmetry_Int_Tables_number 1
_cell_length_a 4.211
_cell_length_b 4.211
_cell_length_c 4.211
_cell_angle_alpha 90.00
_cell_angle_beta 90.00
_cell_angle_gamma 90.00
loop_
_symmetry_equiv_pos_as_xyz
'x,y,z'
loop_
_atom_site_label
_atom_site_type_symbol
_atom_site_fract_x
_atom_site_fract_y
_atom_site_fract_z
Ru1 Ru 0.500 0.500 0.500
Se1 Se 0.000 0.000 0.500
H1 H 0.000 0.000 0.000
Se2 Se 0.500 0.000 0.000
Se3 Se 0.000 0.500 0.000
```

Energy relative to the lowest polymorph listed for this composition in kJ per mole of atoms: 7.9